# LaPrGe4Pd2 | OQMD via LeMat-Bulk | PBE | relaxed
data_LaPrGe4Pd2
_chemical_formula_sum 'La1 Pr1 Ge4 Pd2'
_symmetry_space_group_name_H-M 'P 1 m 1'
_symmetry_Int_Tables_number 6
_symmetry_space_group_name_Hall 'P -2y'
_cell_length_a 4.3878
_cell_length_b 4.4166
_cell_length_c 9.0272
_cell_angle_alpha 90.00
_cell_angle_beta 103.74
_cell_angle_gamma 90.00
loop_
_atom_site_label
_atom_site_type_symbol
_atom_site_fract_x
_atom_site_fract_y
_atom_site_fract_z
_atom_site_occupancy
La1 La 0.0000 0.0000 0.0000 1
Pr1 Pr 0.7698 0.5000 0.5677 1
Ge1 Ge 0.1292 0.5000 0.2863 1
Ge2 Ge 0.3053 0.0000 0.7116 1
Ge3 Ge 0.4623 0.5000 0.8544 1
Ge4 Ge 0.6406 0.0000 0.2833 1
Pd1 Pd 0.2140 0.0000 0.4314 1
Pd2 Pd 0.5547 0.5000 0.1365 1
# Energy above the lowest structure with this stoichiometry = 0.0042 eV/atom

=====

# LaPr2Ge3PdPt2 | OQMD via LeMat-Bulk | PBE | relaxed
data_LaPr2Ge3PdPt2
_chemical_formula_sum 'La2 Pr4 Ge6 Pd2 Pt4'
_symmetry_space_group_name_H-M 'A m m 2'
_symmetry_Int_Tables_number 38
_symmetry_space_group_name_Hall 'A 2 -2'
_cell_length_a 4.0555
_cell_length_b 12.9301
_cell_length_c 7.4383
_cell_angle_alpha 90.00
_cell_angle_beta 90.00
_cell_angle_gamma 90.00
loop_
_atom_site_label
_atom_site_type_symbol
_atom_site_fract_x
_atom_site_fract_y
_atom_site_fract_z
_atom_site_occupancy
La1 La 0.0000 0.0000 0.0000 1
Pr1 Pr 0.0000 0.2050 0.3822 1
Ge1 Ge 0.5000 0.0000 0.3442 1
Ge2 Ge 0.5000 0.1236 0.7078 1
Pd1 Pd 0.0000 0.0000 0.5860 1
Pt1 Pt 0.5000 0.1657 0.0848 1
# DFT total energy = -6.011 eV per atom

=====

# La2PrSi2Ge2Pd4 | OQMD via LeMat-Bulk | PBE | relaxed
data_La2PrSi2Ge2Pd4
_chemical_formula_sum 'La4 Pr2 Si4 Ge4 Pd8'
_symmetry_space_group_name_H-M 'I m m m'
_symmetry_Int_Tables_number 71
_symmetry_space_group_name_Hall '-I 2 2'
_cell_length_a 4.2440
_cell_length_b 4.3311
_cell_length_c 25.1622
_cell_angle_alpha 90.00
_cell_angle_beta 90.00
_cell_angle_gamma 90.00
loop_
_atom_site_label
_atom_site_type_symbol
_atom_site_fract_x
_atom_site_fract_y
_atom_site_fract_z
_atom_site_occupancy
La1 La 0.0000 0.0000 0.1462 1
Pr1 Pr 0.0000 0.5000 0.0000 1
Si1 Si 0.0000 0.5000 0.4523 1
Ge1 Ge 0.0000 0.0000 0.3051 1
Pd1 Pd 0.0000 0.0000 0.4061 1
Pd2 Pd 0.0000 0.5000 0.2495 1
# Energy above the lowest structure with this stoichiometry = 0.0373 eV/atom

=====

# La2PrSi2Ge2Pd4 | OQMD via LeMat-Bulk | PBE | relaxed
data_La2PrSi2Ge2Pd4
_chemical_formula_sum 'La4 Pr2 Si4 Ge4 Pd8'
_symmetry_space_group_name_H-M 'I m m m'
_symmetry_Int_Tables_number 71
_symmetry_space_group_name_Hall '-I 2 2'
_cell_length_a 4.1861
_cell_length_b 4.3590
_cell_length_c 25.1908
_cell_angle_alpha 90.00
_cell_angle_beta 90.00
_cell_angle_gamma 90.00
loop_
_atom_site_label
_atom_site_type_symbol
_atom_site_fract_x
_atom_site_fract_y
_atom_site_fract_z
_atom_site_occupancy
La1 La 0.0000 0.0000 0.1482 1
Pr1 Pr 0.0000 0.5000 0.0000 1
Si1 Si 0.0000 0.0000 0.3016 1
Ge1 Ge 0.0000 0.5000 0.4503 1
Pd1 Pd 0.0000 0.0000 0.3991 1
Pd2 Pd 0.0000 0.5000 0.2494 1
# Energy above the lowest structure with this stoichiometry = 0.0000 eV/atom

=====

# La2PrZn2Ge4Pd2 | OQMD via LeMat-Bulk | PBE | relaxed
data_La2PrZn2Ge4Pd2
_chemical_formula_sum 'La4 Pr2 Zn4 Ge8 Pd4'
_symmetry_space_group_name_H-M 'I m m m'
_symmetry_Int_Tables_number 71
_symmetry_space_group_name_Hall '-I 2 2'
_cell_length_a 4.1716
_cell_length_b 4.3630
_cell_length_c 25.9751
_cell_angle_alpha 90.00
_cell_angle_beta 90.00
_cell_angle_gamma 90.00
loop_
_atom_site_label
_atom_site_type_symbol
_atom_site_fract_x
_atom_site_fract_y
_atom_site_fract_z
_atom_site_occupancy
La1 La 0.0000 0.0000 0.1464 1
Pr1 Pr 0.0000 0.5000 0.0000 1
Zn1 Zn 0.0000 0.5000 0.2502 1
Ge1 Ge 0.0000 0.0000 0.3083 1
Ge2 Ge 0.0000 0.5000 0.4516 1
Pd1 Pd 0.0000 0.0000 0.4048 1
# DFT total energy = -4.966 eV per atom

=====

# La3Ge4Pd2Pt2 | OQMD via LeMat-Bulk | PBE | relaxed
data_La3Ge4Pd2Pt2
_chemical_formula_sum 'La6 Ge8 Pd4 Pt4'
_symmetry_space_group_name_H-M 'I m m m'
_symmetry_Int_Tables_number 71
_symmetry_space_group_name_Hall '-I 2 2'
_cell_length_a 4.2302
_cell_length_b 4.4221
_cell_length_c 25.3992
_cell_angle_alpha 90.00
_cell_angle_beta 90.00
_cell_angle_gamma 90.00
loop_
_atom_site_label
_atom_site_type_symbol
_atom_site_fract_x
_atom_site_fract_y
_atom_site_fract_z
_atom_site_occupancy
La1 La 0.0000 0.0000 0.0000 1
La2 La 0.0000 0.5000 0.1482 1
Ge1 Ge 0.0000 0.0000 0.4503 1
Ge2 Ge 0.0000 0.5000 0.3042 1
Pd1 Pd 0.0000 0.5000 0.4028 1
Pt1 Pt 0.0000 0.0000 0.2499 1
# DFT total energy = -6.016 eV per atom

=====

# La2Ge4PdPt | OQMD via LeMat-Bulk | PBE | relaxed
data_La2Ge4PdPt
_chemical_formula_sum 'La4 Ge8 Pd2 Pt2'
_symmetry_space_group_name_H-M 'A m m 2'
_symmetry_Int_Tables_number 38
_symmetry_space_group_name_Hall 'A 2 -2'
_cell_length_a 4.4495
_cell_length_b 4.4234
_cell_length_c 17.4663
_cell_angle_alpha 90.00
_cell_angle_beta 90.00
_cell_angle_gamma 90.00
loop_
_atom_site_label
_atom_site_type_symbol
_atom_site_fract_x
_atom_site_fract_y
_atom_site_fract_z
_atom_site_occupancy
La1 La 0.0000 0.0000 0.0000 1
La2 La 0.5000 0.0000 0.2168 1
Ge1 Ge 0.0000 0.0000 0.3598 1
Ge2 Ge 0.0000 0.0000 0.6450 1
Ge3 Ge 0.5000 0.0000 0.5733 1
Ge4 Ge 0.5000 0.0000 0.8590 1
Pd1 Pd 0.5000 0.0000 0.4313 1
Pt1 Pt 0.0000 0.0000 0.7867 1
# DFT total energy = -5.839 eV per atom

=====

# LaSiGePd2 | OQMD via LeMat-Bulk | PBE | relaxed
data_LaSiGePd2
_chemical_formula_sum 'La2 Si2 Ge2 Pd4'
_symmetry_space_group_name_H-M 'I 4 m m'
_symmetry_Int_Tables_number 107
_symmetry_space_group_name_Hall 'I 4 -2'
_cell_length_a 4.3490
_cell_length_b 4.3490
_cell_length_c 10.1224
_cell_angle_alpha 90.00
_cell_angle_beta 90.00
_cell_angle_gamma 90.00
loop_
_atom_site_label
_atom_site_type_symbol
_atom_site_fract_x
_atom_site_fract_y
_atom_site_fract_z
_atom_site_occupancy
La1 La 0.0000 0.0000 0.0000 1
Si1 Si 0.0000 0.0000 0.3740 1
Ge1 Ge 0.0000 0.0000 0.6174 1
Pd1 Pd 0.0000 0.5000 0.2553 1
# DFT total energy = -5.966 eV per atom

=====

# LaSiGe2Pd | OQMD via LeMat-Bulk | PBE | relaxed
data_LaSiGe2Pd
_chemical_formula_sum 'La2 Si2 Ge4 Pd2'
_symmetry_space_group_name_H-M 'I 4 m m'
_symmetry_Int_Tables_number 107
_symmetry_space_group_name_Hall 'I 4 -2'
_cell_length_a 4.4908
_cell_length_b 4.4908
_cell_length_c 9.8677
_cell_angle_alpha 90.00
_cell_angle_beta 90.00
_cell_angle_gamma 90.00
loop_
_atom_site_label
_atom_site_type_symbol
_atom_site_fract_x
_atom_site_fract_y
_atom_site_fract_z
_atom_site_occupancy
La1 La 0.0000 0.0000 0.0000 1
Si1 Si 0.0000 0.0000 0.5988 1
Ge1 Ge 0.0000 0.5000 0.2377 1
Pd1 Pd 0.0000 0.0000 0.3562 1
# DFT total energy = -5.660 eV per atom

=====

# La3Si2Ge2Pd4 | OQMD via LeMat-Bulk | PBE | relaxed
data_La3Si2Ge2Pd4
_chemical_formula_sum 'La6 Si4 Ge4 Pd8'
_symmetry_space_group_name_H-M 'I m m m'
_symmetry_Int_Tables_number 71
_symmetry_space_group_name_Hall '-I 2 2'
_cell_length_a 4.2830
_cell_length_b 4.3431
_cell_length_c 25.0637
_cell_angle_alpha 90.00
_cell_angle_beta 90.00
_cell_angle_gamma 90.00
loop_
_atom_site_label
_atom_site_type_symbol
_atom_site_fract_x
_atom_site_fract_y
_atom_site_fract_z
_atom_site_occupancy
La1 La 0.0000 0.0000 0.0000 1
La2 La 0.0000 0.5000 0.1465 1
Si1 Si 0.0000 0.0000 0.4520 1
Ge1 Ge 0.0000 0.5000 0.3044 1
Pd1 Pd 0.0000 0.0000 0.2490 1
Pd2 Pd 0.0000 0.5000 0.4055 1
# DFT total energy = -5.972 eV per atom

=====

# La2SmSi2Ge2Pd4 | OQMD via LeMat-Bulk | PBE | relaxed
data_La2SmSi2Ge2Pd4
_chemical_formula_sum 'La4 Sm2 Si4 Ge4 Pd8'
_symmetry_space_group_name_H-M 'I m m m'
_symmetry_Int_Tables_number 71
_symmetry_space_group_name_Hall '-I 2 2'
_cell_length_a 4.1617
_cell_length_b 4.3435
_cell_length_c 25.1469
_cell_angle_alpha 90.00
_cell_angle_beta 90.00
_cell_angle_gamma 90.00
loop_
_atom_site_label
_atom_site_type_symbol
_atom_site_fract_x
_atom_site_fract_y
_atom_site_fract_z
_atom_site_occupancy
La1 La 0.0000 0.0000 0.1480 1
Sm1 Sm 0.0000 0.5000 0.0000 1
Si1 Si 0.0000 0.0000 0.3018 1
Ge1 Ge 0.0000 0.5000 0.4507 1
Pd1 Pd 0.0000 0.0000 0.3995 1
Pd2 Pd 0.0000 0.5000 0.2495 1
# DFT total energy = -5.977 eV per atom

=====

# LaSmGe4Pd2 | OQMD via LeMat-Bulk | PBE | relaxed
data_LaSmGe4Pd2
_chemical_formula_sum 'La2 Sm2 Ge8 Pd4'
_symmetry_space_group_name_H-M 'A m m 2'
_symmetry_Int_Tables_number 38
_symmetry_space_group_name_Hall 'A 2 -2'
_cell_length_a 4.4189
_cell_length_b 4.3480
_cell_length_c 17.3618
_cell_angle_alpha 90.00
_cell_angle_beta 90.00
_cell_angle_gamma 90.00
loop_
_atom_site_label
_atom_site_type_symbol
_atom_site_fract_x
_atom_site_fract_y
_atom_site_fract_z
_atom_site_occupancy
La1 La 0.0000 0.0000 0.0000 1
Sm1 Sm 0.5000 0.0000 0.7851 1
Ge1 Ge 0.0000 0.0000 0.3563 1
Ge2 Ge 0.0000 0.0000 0.6423 1
Ge3 Ge 0.5000 0.0000 0.1444 1
Ge4 Ge 0.5000 0.0000 0.4277 1
Pd1 Pd 0.0000 0.0000 0.2161 1
Pd2 Pd 0.5000 0.0000 0.5697 1
# DFT total energy = -5.614 eV per atom

=====

# LaSnGePd | OQMD via LeMat-Bulk | PBE | relaxed
data_LaSnGePd
_chemical_formula_sum 'La4 Sn4 Ge4 Pd4'
_symmetry_space_group_name_H-M 'C m c m'
_symmetry_Int_Tables_number 63
_symmetry_space_group_name_Hall '-C 2c 2'
_cell_length_a 4.4908
_cell_length_b 18.3790
_cell_length_c 4.6187
_cell_angle_alpha 90.00
_cell_angle_beta 90.00
_cell_angle_gamma 90.00
loop_
_atom_site_label
_atom_site_type_symbol
_atom_site_fract_x
_atom_site_fract_y
_atom_site_fract_z
_atom_site_occupancy
La1 La 0.0000 0.1196 0.2500 1
Sn1 Sn 0.0000 0.4558 0.2500 1
Ge1 Ge 0.0000 0.2523 0.7500 1
Pd1 Pd 0.0000 0.3127 0.2500 1
# DFT total energy = -5.486 eV per atom

=====

# SrLa2Ge4Pd4 | OQMD via LeMat-Bulk | PBE | relaxed
data_SrLa2Ge4Pd4
_chemical_formula_sum 'Sr2 La4 Ge8 Pd8'
_symmetry_space_group_name_H-M 'I m m m'
_symmetry_Int_Tables_number 71
_symmetry_space_group_name_Hall '-I 2 2'
_cell_length_a 4.2943
_cell_length_b 4.4033
_cell_length_c 25.4375
_cell_angle_alpha 90.00
_cell_angle_beta 90.00
_cell_angle_gamma 90.00
loop_
_atom_site_label
_atom_site_type_symbol
_atom_site_fract_x
_atom_site_fract_y
_atom_site_fract_z
_atom_site_occupancy
Sr1 Sr 0.0000 0.0000 0.0000 1
La1 La 0.0000 0.5000 0.1481 1
Ge1 Ge 0.0000 0.0000 0.4502 1
Ge2 Ge 0.0000 0.5000 0.3031 1
Pd1 Pd 0.0000 0.0000 0.2498 1
Pd2 Pd 0.0000 0.5000 0.4018 1
# DFT total energy = -5.460 eV per atom

=====

# Sr2LaGe4Pd4 | OQMD via LeMat-Bulk | PBE | relaxed
data_Sr2LaGe4Pd4
_chemical_formula_sum 'Sr4 La2 Ge8 Pd8'
_symmetry_space_group_name_H-M 'I m m m'
_symmetry_Int_Tables_number 71
_symmetry_space_group_name_Hall '-I 2 2'
_cell_length_a 4.3570
_cell_length_b 4.4319
_cell_length_c 25.2024
_cell_angle_alpha 90.00
_cell_angle_beta 90.00
_cell_angle_gamma 90.00
loop_
_atom_site_label
_atom_site_type_symbol
_atom_site_fract_x
_atom_site_fract_y
_atom_site_fract_z
_atom_site_occupancy
Sr1 Sr 0.0000 0.0000 0.1465 1
La1 La 0.0000 0.5000 0.0000 1
Ge1 Ge 0.0000 0.0000 0.3014 1
Ge2 Ge 0.0000 0.5000 0.4509 1
Pd1 Pd 0.0000 0.0000 0.4026 1
Pd2 Pd 0.0000 0.5000 0.2495 1
# DFT total energy = -5.119 eV per atom

=====

# LaTcGe2Pd | OQMD via LeMat-Bulk | PBE | relaxed
data_LaTcGe2Pd
_chemical_formula_sum 'La2 Tc2 Ge4 Pd2'
_symmetry_space_group_name_H-M 'I -4 m 2'
_symmetry_Int_Tables_number 119
_symmetry_space_group_name_Hall 'I -4 -2'
_cell_length_a 4.2868
_cell_length_b 4.2868
_cell_length_c 10.6346
_cell_angle_alpha 90.00
_cell_angle_beta 90.00
_cell_angle_gamma 90.00
loop_
_atom_site_label
_atom_site_type_symbol
_atom_site_fract_x
_atom_site_fract_y
_atom_site_fract_z
_atom_site_occupancy
La1 La 0.0000 0.0000 0.0000 1
Tc1 Tc 0.0000 0.5000 0.7500 1
Ge1 Ge 0.0000 0.0000 0.3728 1
Pd1 Pd 0.0000 0.5000 0.2500 1
# DFT total energy = -6.602 eV per atom

=====

# LaYGe2Pd4 | OQMD via LeMat-Bulk | PBE | relaxed
data_LaYGe2Pd4
_chemical_formula_sum 'La1 Y1 Ge2 Pd4'
_symmetry_space_group_name_H-M 'P -6 m 2'
_symmetry_Int_Tables_number 187
_symmetry_space_group_name_Hall 'P -6 2'
_cell_length_a 4.4426
_cell_length_b 4.4426
_cell_length_c 9.2805
_cell_angle_alpha 90.00
_cell_angle_beta 90.00
_cell_angle_gamma 120.00
loop_
_atom_site_label
_atom_site_type_symbol
_atom_site_fract_x
_atom_site_fract_y
_atom_site_fract_z
_atom_site_occupancy
La1 La 0.0000 0.0000 0.0000 1
Y1 Y 0.6667 0.3333 0.5000 1
Ge1 Ge 0.3333 0.6667 0.2639 1
Pd1 Pd 0.0000 0.0000 0.3341 1
Pd2 Pd 0.6667 0.3333 0.1804 1
# DFT total energy = -5.983 eV per atom

=====

# LaPrGe3 | OQMD via LeMat-Bulk | PBE | relaxed
data_LaPrGe3
_chemical_formula_sum 'La4 Pr4 Ge12'
_symmetry_space_group_name_H-M 'C m c m'
_symmetry_Int_Tables_number 63
_symmetry_space_group_name_Hall '-C 2c 2'
_cell_length_a 6.1808
_cell_length_b 12.5051
_cell_length_c 6.8579
_cell_angle_alpha 90.00
_cell_angle_beta 90.00
_cell_angle_gamma 90.00
loop_
_atom_site_label
_atom_site_type_symbol
_atom_site_fract_x
_atom_site_fract_y
_atom_site_fract_z
_atom_site_occupancy
La1 La 0.0000 0.1219 0.2500 1
Pr1 Pr 0.0000 0.4612 0.2500 1
Ge1 Ge 0.0000 0.1190 0.7500 1
Ge2 Ge 0.0000 0.3046 0.5685 1
# DFT total energy = -5.171 eV per atom

=====

# LaPrGe4Pt2 | OQMD via LeMat-Bulk | PBE | relaxed
data_LaPrGe4Pt2
_chemical_formula_sum 'La1 Pr1 Ge4 Pt2'
_symmetry_space_group_name_H-M 'P 1 m 1'
_symmetry_Int_Tables_number 6
_symmetry_space_group_name_Hall 'P -2y'
_cell_length_a 4.3967
_cell_length_b 4.4418
_cell_length_c 8.9841
_cell_angle_alpha 90.00
_cell_angle_beta 104.00
_cell_angle_gamma 90.00
loop_
_atom_site_label
_atom_site_type_symbol
_atom_site_fract_x
_atom_site_fract_y
_atom_site_fract_z
_atom_site_occupancy
La1 La 0.0000 0.0000 0.0000 1
Pr1 Pr 0.7693 0.5000 0.5668 1
Ge1 Ge 0.1323 0.5000 0.2860 1
Ge2 Ge 0.3116 0.0000 0.7118 1
Ge3 Ge 0.4550 0.5000 0.8533 1
Ge4 Ge 0.6372 0.0000 0.2825 1
Pt1 Pt 0.2099 0.0000 0.4292 1
Pt2 Pt 0.5587 0.5000 0.1379 1
# DFT total energy = -5.950 eV per atom

=====

# LaPr2Si2Ge2Pt4 | OQMD via LeMat-Bulk | PBE | relaxed
data_LaPr2Si2Ge2Pt4
_chemical_formula_sum 'La2 Pr4 Si4 Ge4 Pt8'
_symmetry_space_group_name_H-M 'I m m m'
_symmetry_Int_Tables_number 71
_symmetry_space_group_name_Hall '-I 2 2'
_cell_length_a 4.2344
_cell_length_b 4.3511
_cell_length_c 24.7336
_cell_angle_alpha 90.00
_cell_angle_beta 90.00
_cell_angle_gamma 90.00
loop_
_atom_site_label
_atom_site_type_symbol
_atom_site_fract_x
_atom_site_fract_y
_atom_site_fract_z
_atom_site_occupancy
La1 La 0.0000 0.0000 0.0000 1
Pr1 Pr 0.0000 0.5000 0.1480 1
Si1 Si 0.0000 0.5000 0.3019 1
Ge1 Ge 0.0000 0.0000 0.4487 1
Pt1 Pt 0.0000 0.0000 0.2475 1
Pt2 Pt 0.0000 0.5000 0.3986 1
# DFT total energy = -6.428 eV per atom